# 1
Ta2PPb | PBE | optimized geometry

Unit cell a=5.222 b=5.222 c=5.222 alpha=141.27 beta=118.39 gamma=75.19
Atoms (fractional coordinates):
Ta 0.201 0.201 0.000
Ta 0.799 0.799 0.000
P 0.000 0.500 0.500
Pb 0.500 0.000 0.500

## Properties
DFT formation energy in kcal/mol of atoms: 2.29
Crystal system: orthorhombic


# 2
Ta2PPb | PBE | optimized geometry

Unit cell a=4.772 b=4.772 c=4.772 alpha=60.00 beta=60.00 gamma=60.00
Atoms (fractional coordinates):
Ta 0.000 0.000 0.000
Ta 0.250 0.250 0.250
P 0.500 0.500 0.500
Pb 0.750 0.750 0.750

## Properties
DFT formation energy in kcal/mol of atoms: 14.78
Crystal system: cubic


# 3
TaPPb2 | PBE | optimized geometry

Unit cell a=5.014 b=5.014 c=3.523 alpha=90.00 beta=90.00 gamma=90.00
Atoms (fractional coordinates):
Ta 0.000 0.000 0.000
P 0.500 0.500 0.000
Pb 0.000 0.500 0.500
Pb 0.500 0.000 0.500

## Properties
DFT formation energy in kcal/mol of atoms: 15.95
Crystal system: tetragonal


# 4
TaPPb2 | PBE | optimized geometry

Unit cell a=5.481 b=5.481 c=3.072 alpha=90.00 beta=90.00 gamma=105.75
Atoms (fractional coordinates):
Ta 0.000 0.000 0.000
P 0.500 0.500 0.000
Pb 0.000 0.500 0.500
Pb 0.500 0.000 0.500

## Properties
DFT formation energy in kcal/mol of atoms: 15.06
Crystal system: orthorhombic


# 5
Ta2PPb | PBE | optimized geometry

Unit cell a=4.658 b=4.658 c=3.353 alpha=90.00 beta=90.00 gamma=90.00
Atoms (fractional coordinates):
Ta 0.000 0.500 0.000
Ta 0.500 0.000 0.000
P 0.000 0.000 0.500
Pb 0.500 0.500 0.500

## Properties
DFT formation energy in kcal/mol of atoms: 8.57
Crystal system: tetragonal


# 6
Ta2PPb | PBE | optimized geometry

Unit cell a=7.328 b=7.328 c=7.328 alpha=28.45 beta=28.45 gamma=28.45
Atoms (fractional coordinates):
Ta 0.226 0.226 0.226
Ta 0.774 0.774 0.774
P 0.500 0.500 0.500
Pb 0.000 0.000 0.000

## Properties
DFT formation energy in kcal/mol of atoms: -0.66
Crystal system: trigonal


Going through the records in order, we get total moment values of 0.0; 0.0; 0.0; 0.0; 0.0; 0.0 μB per formula unit.